Entry 1:
Compound: NaLa2HfNb
Source: Alexandria via LeMat-Bulk
Functional: SCAN
Structure: single point on PBEsol structure

extended XYZ file:
```
5
Lattice="5.8544 0.0000 0.0000 0.0000 5.8544 0.0000 0.0000 0.0000 4.9694" Properties=species:S:1:pos:R:3 pbc="T T T"
Na 0.0000 0.0000 0.0000
La 0.0000 2.9272 2.4847
La 2.9272 0.0000 2.4847
Hf 2.9272 2.9272 2.4847
Nb 2.9272 2.9272 0.0000
```

Results
Calculated formation energy ... 0.769 eV per atom
M_tot ... 0.24 μB/atom



Entry 2:
Compound: LiPtRh2
Source: Alexandria via LeMat-Bulk
Functional: SCAN
Structure: single point on PBEsol structure

extended XYZ file:
```
4
Lattice="2.5862 -4.5072 0.0000 2.5862 4.5072 0.0000 -1.1944 0.0000 2.3440" Properties=species:S:1:pos:R:3 pbc="T T T"
Li 0.0000 0.0000 0.0000
Pt 2.5862 0.0000 0.0000
Rh 0.6959 2.2536 1.1720
Rh 0.6959 -2.2536 1.1720
```

Results
Relative energy among the computed polymorphs ... 123.3 meV/atom
Calculated formation energy ... -0.128 eV per atom
M_tot ... 0.00 μB/atom



Entry 3:
Compound: Zr2CuAu
Source: Alexandria via LeMat-Bulk
Functional: SCAN
Structure: single point on PBEsol structure

extended XYZ file:
```
4
Lattice="3.0998 0.0000 0.0000 0.0000 4.6466 0.0000 -0.0066 0.0000 4.9907" Properties=species:S:1:pos:R:3 pbc="T T T"
Zr 0.0000 0.0000 0.0000
Zr 0.0022 2.3233 2.9077
Cu 1.5504 0.0000 2.3657
Au 1.5516 2.3233 0.5529
```

Results
Calculated formation energy ... -0.451 eV per atom
M_tot ... 0.32 μB/atom



Entry 4:
Compound: AlTc2Ir
Source: Alexandria via LeMat-Bulk
Functional: SCAN
Structure: single point on PBEsol structure

extended XYZ file:
```
4
Lattice="2.3589 -1.3614 0.0000 2.3589 1.3614 0.0000 -1.6076 0.0000 8.7530" Properties=species:S:1:pos:R:3 pbc="T T T"
Al 0.0000 0.0000 0.0000
Tc -0.0197 0.0000 6.5598
Tc 3.1300 0.0000 2.1931
Ir 1.5552 0.0000 4.3765
```

Results
Calculated formation energy ... -0.196 eV per atom
M_tot ... 0.00 μB/atom



Entry 5:
Compound: K2ScP
Source: Alexandria via LeMat-Bulk
Functional: SCAN
Structure: single point on PBEsol structure

extended XYZ file:
```
4
Lattice="3.6629 0.0000 0.0000 0.0000 3.6629 0.0000 0.0000 0.0000 10.4225" Properties=species:S:1:pos:R:3 pbc="T T T"
K 0.0000 0.0000 0.0000
K 1.8315 1.8315 3.9632
Sc 1.8315 1.8315 7.3170
P 0.0000 0.0000 6.9556
```

Results
Calculated formation energy ... -0.481 eV per atom
M_tot ... 0.20 μB/atom



Entry 6:
Compound: Ca2MnOs
Source: Alexandria via LeMat-Bulk
Functional: SCAN
Structure: single point on PBEsol structure

extended XYZ file:
```
4
Lattice="4.2514 0.0000 0.0000 0.0000 4.2514 0.0000 0.0000 0.0000 4.3518" Properties=species:S:1:pos:R:3 pbc="T T T"
Ca 0.0000 2.1257 0.0000
Ca 2.1257 0.0000 0.0000
Mn 0.0000 0.0000 2.1759
Os 2.1257 2.1257 2.1759
```

Results
Relative energy among the computed polymorphs ... 210.6 meV/atom
Calculated formation energy ... 0.480 eV per atom
M_tot ... 1.10 μB/atom



Entry 7:
Compound: Sc2InMo
Source: Alexandria via LeMat-Bulk
Functional: SCAN
Structure: single point on PBEsol structure

extended XYZ file:
```
4
Lattice="1.6024 0.9251 10.0822 -1.6024 0.9251 10.0822 0.0000 -1.8503 10.0822" Properties=species:S:1:pos:R:3 pbc="T T T"
Sc 0.0000 0.0000 3.0712
Sc 0.0000 0.0000 27.1753
In 0.0000 0.0000 0.0000
Mo 0.0000 0.0000 15.1233
```

Results
Calculated formation energy ... 0.270 eV per atom
M_tot ... 0.00 μB/atom



Entry 8:
Compound: Mg2TlNi
Source: Alexandria via LeMat-Bulk
Functional: SCAN
Structure: single point on PBEsol structure

extended XYZ file:
```
4
Lattice="3.3298 0.0000 0.0000 0.0000 3.3298 0.0000 0.0000 0.0000 6.5321" Properties=species:S:1:pos:R:3 pbc="T T T"
Mg 0.0000 0.0000 0.0000
Mg 1.6649 1.6649 1.8843
Tl 1.6649 1.6649 4.6755
Ni 0.0000 0.0000 3.1149
```

Results
Calculated formation energy ... 0.026 eV per atom
M_tot ... 0.00 μB/atom



Entry 9:
Compound: Re2HgSe
Source: Alexandria via LeMat-Bulk
Functional: SCAN
Structure: single point on PBEsol structure

extended XYZ file:
```
4
Lattice="2.9199 0.0000 0.0000 0.0000 2.9199 0.0000 0.0000 0.0000 8.2014" Properties=species:S:1:pos:R:3 pbc="T T T"
Re 0.0000 0.0000 0.0000
Re 1.4599 1.4599 1.6677
Hg 1.4599 1.4599 6.1330
Se 0.0000 0.0000 3.3066
```

Results
Relative energy among the computed polymorphs ... 0.0 meV/atom
M_tot ... 0.00 μB/atom
E_form (uncorrected) ... 0.38 eV per atom



Entry 10:
Compound: Li3IN
Source: Alexandria via LeMat-Bulk
Functional: SCAN
Structure: single point on PBEsol structure

extended XYZ file:
```
5
Lattice="4.9750 0.0000 0.0000 0.0000 4.9750 0.0000 0.0000 0.0000 4.9750" Properties=species:S:1:pos:R:3 pbc="T T T"
Li 0.0000 0.0000 2.4875
Li 0.0000 2.4875 0.0000
Li 2.4875 0.0000 0.0000
I 0.0000 0.0000 0.0000
N 2.4875 2.4875 2.4875
```

Results
M_tot ... 0.20 μB/atom
E_form (uncorrected) ... 0.53 eV per atom



Entry 11:
Compound: Sc2Ga2Os
Source: Alexandria via LeMat-Bulk
Functional: SCAN
Structure: single point on PBEsol structure

extended XYZ file:
```
10
Lattice="6.7367 0.0000 0.0000 0.0000 6.7367 0.0000 0.0000 0.0000 3.6927" Properties=species:S:1:pos:R:3 pbc="T T T"
Sc 1.1954 2.1729 0.0000
Sc 2.1729 5.5412 0.0000
Sc 4.5638 1.1954 0.0000
Sc 5.5412 4.5638 0.0000
Ga 0.8746 4.2429 1.8464
Ga 2.4938 0.8746 1.8464
Ga 4.2429 5.8621 1.8464
Ga 5.8621 2.4938 1.8464
Os 0.0000 0.0000 1.8464
Os 3.3683 3.3683 1.8464
```

Results
Calculated formation energy ... -0.613 eV per atom
M_tot ... 0.00 μB/atom



Entry 12:
Compound: CaAgW
Source: Alexandria via LeMat-Bulk
Functional: SCAN
Structure: single point on PBEsol structure

extended XYZ file:
```
3
Lattice="2.9144 0.0000 0.0000 -1.4572 2.5240 0.0000 0.0000 0.0000 7.6219" Properties=species:S:1:pos:R:3 pbc="T T T"
Ca 0.0000 0.0000 0.0000
Ag 1.4572 0.8413 2.6472
W 0.0000 1.6826 5.0242
```

Results
Calculated formation energy ... 0.869 eV per atom
M_tot ... 0.00 μB/atom



Entry 13:
Compound: CrAg3Te
Source: Alexandria via LeMat-Bulk
Functional: SCAN
Structure: single point on PBEsol structure

extended XYZ file:
```
5
Lattice="4.8922 0.0000 0.0000 0.0000 4.8922 0.0000 0.0000 0.0000 4.8922" Properties=species:S:1:pos:R:3 pbc="T T T"
Cr 0.0000 0.0000 0.0000
Ag 0.0000 0.0000 2.4461
Ag 0.0000 2.4461 0.0000
Ag 2.4461 0.0000 0.0000
Te 2.4461 2.4461 2.4461
```

Results
M_tot ... 1.02 μB/atom
E_form (uncorrected) ... 0.88 eV per atom



Entry 14:
Compound: Ba4CeMn3O12
Source: Alexandria via LeMat-Bulk
Functional: SCAN
Structure: single point on PBEsol structure

extended XYZ file:
```
20
Lattice="2.8893 1.6681 9.5557 -2.8893 1.6681 9.5557 0.0000 -3.3363 9.5557" Properties=species:S:1:pos:R:3 pbc="T T T"
Ba 0.0000 0.0000 3.7718
Ba 0.0000 0.0000 8.0419
Ba 0.0000 0.0000 20.6251
Ba 0.0000 0.0000 24.8953
Ce 0.0000 0.0000 0.0000
Mn 0.0000 0.0000 11.8296
Mn 0.0000 0.0000 14.3335
Mn 0.0000 0.0000 16.8374
O -1.2730 -0.7350 13.1325
O 0.0000 -1.5613 10.8493
O -1.3522 0.7807 10.8493
O -1.3522 -0.7807 17.8178
O 0.0000 -1.4699 15.5346
O -1.2730 0.7350 15.5346
O 1.2730 -0.7350 13.1325
O 0.0000 1.4699 13.1325
O 1.3522 0.7807 10.8493
O 1.3522 -0.7807 17.8178
O 0.0000 1.5613 17.8178
O 1.2730 0.7350 15.5346
```

Results
M_tot ... 0.45 μB/atom
E_form (uncorrected) ... -2.89 eV per atom



Entry 15:
Compound: NpCu2Ge2
Source: Alexandria via LeMat-Bulk
Functional: SCAN
Structure: single point on PBEsol structure

extended XYZ file:
```
5
Lattice="-1.9875 1.9875 5.1223 1.9875 -1.9875 5.1223 1.9875 1.9875 -5.1223" Properties=species:S:1:pos:R:3 pbc="T T T"
Np 0.0000 0.0000 0.0000
Cu 1.9875 0.0000 2.5612
Cu 0.0000 1.9875 2.5612
Ge 0.0000 0.0000 3.9004
Ge 0.0000 0.0000 6.3442
```

Results
Calculated formation energy ... -0.187 eV per atom
M_tot ... 0.75 μB/atom



Entry 16:
Compound: MgRe2Mo
Source: Alexandria via LeMat-Bulk
Functional: SCAN
Structure: single point on PBEsol structure

extended XYZ file:
```
4
Lattice="2.6762 -4.2607 0.0000 2.6762 4.2607 0.0000 0.0000 0.0000 2.6791" Properties=species:S:1:pos:R:3 pbc="T T T"
Mg 0.0000 0.0000 0.0000
Re 1.3381 2.1304 1.3395
Re 1.3381 -2.1304 1.3395
Mo 2.6762 0.0000 0.0000
```

Results
Calculated formation energy ... 0.397 eV per atom
M_tot ... 0.00 μB/atom



Entry 17:
Compound: K6NaAu2IO8
Source: Alexandria via LeMat-Bulk
Functional: SCAN
Structure: single point on PBEsol structure

extended XYZ file:
```
36
Lattice="7.0382 0.0000 0.0000 0.0000 9.7746 0.0000 -6.4933 0.0000 10.0161" Properties=species:S:1:pos:R:3 pbc="T T T"
K -1.6233 1.3996 2.5040
K -4.8699 8.3750 7.5121
K -5.8325 1.5939 9.1280
K -2.5859 8.1807 4.1200
K -0.4941 3.1049 5.8884
K 2.7526 6.6698 0.8804
K 1.8958 3.3573 2.5040
K -1.3508 6.4174 7.5121
K -2.2076 3.1049 9.1357
K 1.0390 6.6698 4.1277
K 3.1308 1.5939 5.8961
K 6.3774 8.1807 0.8881
Na 1.8958 0.0624 2.5040
Na -1.3508 9.7122 7.5121
Au -4.8699 4.4538 7.5121
Au 0.0000 4.8873 0.0000
Au -3.2466 4.8873 5.0080
Au -1.6233 5.3208 2.5040
I 3.5191 0.0000 0.0000
I 0.2725 0.0000 5.0080
O -2.9561 4.3622 6.9125
O 0.2905 5.4124 1.9045
O -1.5011 0.7085 5.1439
O 1.7455 9.0661 0.1358
O -3.3859 0.7970 8.3366
O -0.1392 8.9776 3.3285
O 0.8515 1.5833 4.0855
O -2.3951 8.1913 9.0935
O 2.9400 1.5833 0.9226
O -0.3066 8.1913 5.9306
O 0.6842 0.7970 6.6875
O 3.9308 8.9776 1.6795
O -1.2006 0.7085 9.8802
O 2.0461 9.0661 4.8722
O 0.2544 4.3622 8.1116
O 3.5011 5.4124 3.1036
```

Results
M_tot ... 0.00 μB/atom
E_form (uncorrected) ... -1.30 eV per atom



Entry 18:
Compound: CaMn2Se
Source: Alexandria via LeMat-Bulk
Functional: SCAN
Structure: single point on PBEsol structure

extended XYZ file:
```
4
Lattice="-1.9658 1.9658 4.9583 1.9658 -1.9658 4.9583 1.9658 1.9658 -4.9583" Properties=species:S:1:pos:R:3 pbc="T T T"
Ca 0.0000 0.0000 0.0000
Mn 1.9658 0.0000 2.4791
Mn 0.0000 1.9658 2.4791
Se 0.0000 0.0000 4.9583
```

Results
M_tot ... 2.06 μB/atom
E_form (uncorrected) ... -0.32 eV per atom



Entry 19:
Compound: MgSnAuO2
Source: Alexandria via LeMat-Bulk
Functional: SCAN
Structure: single point on PBEsol structure

extended XYZ file:
```
5
Lattice="4.0698 0.0000 0.0000 0.0000 4.0698 0.0000 0.0000 0.0000 5.4149" Properties=species:S:1:pos:R:3 pbc="T T T"
Mg 0.0000 0.0000 0.0000
Sn 2.0349 2.0349 0.0000
Au 2.0349 2.0349 2.7074
O 0.0000 2.0349 2.7074
O 2.0349 0.0000 2.7074
```

Results
M_tot ... 0.04 μB/atom
E_form (uncorrected) ... 0.19 eV per atom



Entry 20:
Compound: KTl2
Source: Alexandria via LeMat-Bulk
Functional: SCAN
Structure: single point on PBEsol structure

extended XYZ file:
```
6
Lattice="6.5095 -1.7659 0.0000 6.5095 1.7659 0.0000 -0.2732 0.0000 8.6156" Properties=species:S:1:pos:R:3 pbc="T T T"
K 0.0000 0.0000 0.0000
K 3.0583 0.0000 5.8791
Tl 4.5038 0.0000 2.6389
Tl 8.0220 0.0000 2.9954
Tl 9.5708 0.0000 0.3415
Tl 12.6228 0.0000 4.8957
```

Results
Relative energy among the computed polymorphs ... 62.1 meV/atom
Calculated formation energy ... -0.130 eV per atom
M_tot ... 0.00 μB/atom



Entry 21:
Compound: BeSbBr2
Source: Alexandria via LeMat-Bulk
Functional: SCAN
Structure: single point on PBEsol structure

extended XYZ file:
```
4
Lattice="1.7701 1.0220 8.3283 -1.7701 1.0220 8.3283 0.0000 -2.0440 8.3283" Properties=species:S:1:pos:R:3 pbc="T T T"
Be 0.0000 0.0000 0.0000
Sb 0.0000 0.0000 6.4982
Br 0.0000 0.0000 12.6581
Br 0.0000 0.0000 17.9131
```

Results
Relative energy among the computed polymorphs ... 36.8 meV/atom
M_tot ... 0.00 μB/atom
E_form (uncorrected) ... -0.04 eV per atom



Entry 22:
Compound: CaReNiIr2
Source: Alexandria via LeMat-Bulk
Functional: SCAN
Structure: single point on PBEsol structure

extended XYZ file:
```
5
Lattice="4.5781 0.0000 0.0000 0.0000 4.5781 0.0000 0.0000 0.0000 4.5512" Properties=species:S:1:pos:R:3 pbc="T T T"
Ca 0.0000 0.0000 0.0000
Re 0.0000 0.0000 2.2756
Ni 2.2890 2.2890 2.2756
Ir 0.0000 2.2890 0.0000
Ir 2.2890 0.0000 0.0000
```

Results
Calculated formation energy ... 3.220 eV per atom
M_tot ... 0.66 μB/atom



Entry 23:
Compound: LiVGeO5
Source: Alexandria via LeMat-Bulk
Functional: SCAN
Structure: single point on PBEsol structure

extended XYZ file:
```
16
Lattice="4.4904 -4.5922 0.0000 4.4904 4.5922 0.0000 0.0000 0.0000 4.5693" Properties=species:S:1:pos:R:3 pbc="T T T"
Li 2.2452 2.2961 0.0000
Li 2.2452 -2.2961 0.0000
V 4.4904 2.2961 2.8121
V 4.4904 -2.2961 1.7572
Ge 2.2452 0.0000 2.2846
Ge 6.7356 0.0000 2.2846
O 1.2906 1.0405 1.2418
O 3.1998 1.0405 3.3275
O 4.4904 2.2961 1.2056
O 1.2906 -1.0405 3.3275
O 3.1998 -1.0405 1.2418
O 5.7810 1.0405 3.3275
O 7.6902 1.0405 1.2418
O 4.4904 -2.2961 3.3637
O 5.7810 -1.0405 1.2418
O 7.6902 -1.0405 3.3275
```

Results
Relative energy among the computed polymorphs ... 23.3 meV/atom
M_tot ... 0.00 μB/atom
E_form (uncorrected) ... -2.19 eV per atom



Entry 24:
Compound: LaZrCo3
Source: Alexandria via LeMat-Bulk
Functional: SCAN
Structure: single point on PBEsol structure

extended XYZ file:
```
5
Lattice="4.4528 0.0000 0.0000 0.0000 4.4528 0.0000 0.0000 0.0000 4.4528" Properties=species:S:1:pos:R:3 pbc="T T T"
La 0.0000 0.0000 0.0000
Zr 2.2264 2.2264 2.2264
Co 0.0000 0.0000 2.2264
Co 0.0000 2.2264 0.0000
Co 2.2264 0.0000 0.0000
```

Results
Calculated formation energy ... 1.400 eV per atom
M_tot ... 0.00 μB/atom



Entry 25:
Compound: ZrZnCu
Source: Alexandria via LeMat-Bulk
Functional: SCAN
Structure: single point on PBEsol structure

extended XYZ file:
```
3
Lattice="-1.5018 1.5018 5.1601 1.5018 -1.5018 5.1601 1.5018 1.5018 -5.1601" Properties=species:S:1:pos:R:3 pbc="T T T"
Zr 0.0000 0.0000 0.0000
Zn 0.0000 0.0000 3.1717
Cu 0.0000 0.0000 7.0132
```

Results
Calculated formation energy ... -0.194 eV per atom
M_tot ... 0.03 μB/atom



Entry 26:
Compound: KCo2Si
Source: Alexandria via LeMat-Bulk
Functional: SCAN
Structure: single point on PBEsol structure

extended XYZ file:
```
4
Lattice="3.8278 -1.3800 0.0000 3.8278 1.3800 0.0000 -2.9375 0.0000 6.7498" Properties=species:S:1:pos:R:3 pbc="T T T"
K 0.0000 0.0000 0.0000
Co -1.0336 0.0000 4.1935
Co 2.0167 0.0000 2.4710
Si 4.3111 0.0000 3.3127
```

Results
M_tot ... 0.68 μB/atom
E_form (uncorrected) ... 0.41 eV per atom